The following is a DFT calculation (GGA-PBE) of crystalline DyTmZnNi at its relaxed geometry.

Values from the calculation:
E_form	-0.3946	eV/atom
Fermi-level density of states	0.845	states/eV per atom
offset from the most stable computed form	0	meV/atom

a = 3.437 Å, b = 3.437 Å, c = 6.927 Å
α = 90.00°, β = 90.00°, γ = 90.00°
Fractional positions:
Zn1 0.500 0.500 0.113
Tm1 0.000 0.000 0.373
Ni1 0.500 0.500 0.600
Dy1 0.000 0.000 0.841

The following is a DFT calculation (GGA-PBE) of crystalline DyTmZnNi at its relaxed geometry.

Values from the calculation:
E_form	-0.3670	eV/atom
Fermi-level density of states	0.631	states/eV per atom
offset from the most stable computed form	28	meV/atom

a = 4.871 Å, b = 4.871 Å, c = 4.871 Å
α = 60.00°, β = 60.00°, γ = 60.00°
Fractional positions:
Tm1 0.500 0.500 0.500
Zn1 0.750 0.750 0.750
Ni1 0.250 0.250 0.250
Dy1 0.000 0.000 0.000